The following is a GGA-PBE calculation of an optimized crystal structure of TlAg2Pd2, from Alexandria.

a b c (Å): 7.026 7.026 3.917
angles (deg): 90.00 90.00 90.00
Space group P4/mbm (No. 127)
One atom of each set of equivalent atoms:
Tl 0.000 0.000 0.000 [2 per cell]
Ag 0.156 0.344 0.500 [4 per cell]
Pd 0.138 0.638 0.000 [4 per cell]

Computed properties:
- crystal system = tetragonal
- calculated density (Mg/m³) = 10.87
- M_tot (μB/f.u.) = 0.00
- formation enthalpy at 0 K (eV per formula unit) = -0.1